No. 1
VASP calculation (PBE) on a relaxed structure of CrRe3B.

## Properties
* total DFT energy (no corrections): -0.786 Ry/atom
* space group: C2/m (12)
* E_form: 38.6 meV per atom

Cell lengths 5.6353, 5.6353, 5.6241 Å; angles 58.42, 58.42, 71.58 degrees
Positions (direct):
Re (0.9897, 0.4106, 0.8120)
Re (0.5894, 0.0103, 0.1880)
Re (0.4106, 0.9897, 0.8120)
Re (0.5227, 0.5227, 0.7176)
Re (0.0103, 0.5894, 0.1880)
Re (0.4773, 0.4773, 0.2824)
B (0.2145, 0.2145, 0.1156)
B (0.7855, 0.7855, 0.8844)
Cr (0.0762, 0.0762, 0.6123)
Cr (0.9238, 0.9238, 0.3877)

No. 2
VASP calculation (PBE) on a relaxed structure of CrRe3B.

## Properties
* total DFT energy (no corrections): -0.605 Ry/atom
* space group: Pm-3m (221)
* E_form: 2490.8 meV per atom

Cell lengths 4.4062, 4.4062, 4.4062 Å; angles 90.00, 90.00, 90.00 degrees
Positions (direct):
Re (0.5000, 0.0000, 0.0000)
Re (0.0000, 0.5000, 0.0000)
Re (0.0000, 0.0000, 0.5000)
Cr (0.0000, 0.0000, 0.0000)
B (0.5000, 0.5000, 0.5000)

No. 3
VASP calculation (PBE) on a relaxed structure of CrRe3B.

## Properties
* total DFT energy (no corrections): -0.765 Ry/atom
* space group: Pm-3m (221)
* E_form: 326.4 meV per atom

Cell lengths 4.0711, 4.0711, 4.0711 Å; angles 90.00, 90.00, 90.00 degrees
Positions (direct):
Cr (0.5000, 0.5000, 0.5000)
Re (0.5000, 0.0000, 0.0000)
Re (0.0000, 0.5000, 0.0000)
Re (0.0000, 0.0000, 0.5000)
B (0.0000, 0.0000, 0.0000)

No. 4
VASP calculation (PBE) on a relaxed structure of CrRe3B.

## Properties
* total DFT energy (no corrections): -0.782 Ry/atom
* space group: C2/m (12)
* E_form: 94.0 meV per atom

Cell lengths 4.1952, 4.9021, 7.6074 Å; angles 112.00, 90.00, 115.33 degrees
Positions (direct):
B (0.1196, 0.2392, 0.9376)
B (0.8804, 0.7608, 0.0624)
Re (0.8666, 0.7332, 0.3391)
Re (0.3846, 0.7692, 0.0751)
Re (0.6154, 0.2308, 0.9249)
Re (0.8574, 0.7149, 0.7647)
Re (0.1426, 0.2851, 0.2353)
Re (0.1334, 0.2668, 0.6609)
Cr (0.6171, 0.2342, 0.4338)
Cr (0.3829, 0.7658, 0.5662)

No. 5
VASP calculation (PBE) on a relaxed structure of Cr2ReB6.

## Properties
* total DFT energy (no corrections): -0.598 Ry/atom
* space group: P6/mmm (191)
* E_form: -163.5 meV per atom

Cell lengths 3.1159, 5.2042, 5.2042 Å; angles 120.00, 90.00, 90.00 degrees
Positions (direct):
B (0.5000, 0.0000, 0.3374)
B (0.5000, 0.6626, 0.0000)
B (0.5000, 0.3374, 0.0000)
B (0.5000, 0.3374, 0.3374)
B (0.5000, 0.6626, 0.6626)
B (0.5000, 0.0000, 0.6626)
Cr (0.0000, 0.6667, 0.3333)
Cr (0.0000, 0.3333, 0.6667)
Re (0.0000, 0.0000, 0.0000)

No. 6
VASP calculation (PBE) on a relaxed structure of Cr2ReSiB.

## Properties
* total DFT energy (no corrections): -0.628 Ry/atom
* space group: P4/mmm (123)
* uncorrected formation energy: 0.212 eV per atom

Cell lengths 3.8759, 4.0778, 3.8759 Å; angles 90.00, 90.00, 90.00 degrees
Positions (direct):
Cr (0.0000, 0.0000, 0.5000)
Cr (0.5000, 0.0000, 0.0000)
Re (0.0000, 0.5000, 0.0000)
Si (0.5000, 0.5000, 0.5000)
B (0.0000, 0.0000, 0.0000)